# 1
This record from the Alexandria database describes crystalline CoMoRu2 at its relaxed geometry. The functional is PBE-GGA.

a = 5.351 Å, b = 5.332 Å, c = 4.642 Å
α = 90.00°, β = 125.17°, γ = 90.00°
Space group C2 (No. 5)
Asymmetric unit:
Co  0.000  0.000  0.000 (multiplicity 2)
Mo  0.000  0.249  0.500 (multiplicity 2)
Ru  0.000  0.500  0.000 (multiplicity 2)
Ru  0.000  0.750  0.500 (multiplicity 2)

Summary:
* ΔH_f (0 K): 39.5 meV per atom
* D(E_F): 3.71 states/eV/f.u.
* distance to the lowest polymorph of the same formula: 35.0 meV per atom

# 2
This record from the Alexandria database describes crystalline YTaMo2 at its relaxed geometry. The functional is PBE-GGA.

a = 3.311 Å, b = 4.911 Å, c = 9.295 Å
α = 90.00°, β = 90.00°, γ = 90.00°
Space group Cmmm (No. 65)
Asymmetric unit:
Y  0.000  0.000  0.000 (multiplicity 2)
Ta  0.000  0.000  0.500 (multiplicity 2)
Mo  0.000  0.500  0.273 (multiplicity 4)

Summary:
* ΔH_f (0 K): 277.5 meV per atom
* D(E_F): 4.01 states/eV/f.u.
* distance to the lowest polymorph of the same formula: 75.9 meV per atom

# 3
This record from the Alexandria database describes crystalline Nd4Tm4Sc at its relaxed geometry. The functional is PBE-GGA.

a = 10.671 Å, b = 10.671 Å, c = 4.988 Å
α = 90.00°, β = 90.00°, γ = 90.00°
Space group I4/mmm (No. 139)
Asymmetric unit:
Nd  0.164  0.164  0.000 (multiplicity 8)
Tm  0.000  0.334  0.500 (multiplicity 8)
Sc  0.000  0.000  0.500 (multiplicity 2)

Summary:
* ΔH_f (0 K): 33.4 meV per atom
* D(E_F): 12.67 states/eV/f.u.
* distance to the lowest polymorph of the same formula: 0.0 meV per atom

# 4
This record from the Alexandria database describes crystalline SrFeMo3 at its relaxed geometry. The functional is PBE-GGA.

a = 4.654 Å, b = 4.654 Å, c = 4.654 Å
α = 90.00°, β = 90.00°, γ = 90.00°
Space group Pm-3m (No. 221)
Asymmetric unit:
Sr  0.000  0.000  0.000 (multiplicity 1)
Fe  0.500  0.500  0.500 (multiplicity 1)
Mo  0.000  0.500  0.500 (multiplicity 3)

Summary:
* ΔH_f (0 K): 1118.0 meV per atom
* D(E_F): 5.17 states/eV/f.u.
* distance to the lowest polymorph of the same formula: 0.0 meV per atom

# 5
This record from the Alexandria database describes crystalline LaSm5Y5 at its relaxed geometry. The functional is PBE-GGA.

a = 6.1992 Å, b = 6.1992 Å, c = 11.5201 Å
α = 90.00°, β = 90.00°, γ = 120.00°
Space group P-6m2 (No. 187)
Asymmetric unit:
La  0.0000  0.0000  0.0000 (multiplicity 1)
Sm  0.0065  0.5032  0.5000 (multiplicity 3)
Sm  0.6667  0.3333  0.2645 (multiplicity 2)
Y  0.0000  0.0000  0.3315 (multiplicity 2)
Y  0.3333  0.6667  0.1626 (multiplicity 2)
Y  0.6667  0.3333  0.0000 (multiplicity 1)

Summary:
* ΔH_f (0 K): 290.1 meV per atom
* D(E_F): 18.28 states/eV/f.u.
* distance to the lowest polymorph of the same formula: 0.0 meV per atom

# 6
This record from the Alexandria database describes crystalline Pr2DySe3 at its relaxed geometry. The functional is PBE-GGA.

a = 4.193 Å, b = 5.940 Å, c = 12.660 Å
α = 90.00°, β = 90.00°, γ = 90.00°
Space group Immm (No. 71)
Asymmetric unit:
Pr  0.000  0.000  0.173 (multiplicity 4)
Dy  0.000  0.000  0.500 (multiplicity 2)
Se  0.000  0.500  0.156 (multiplicity 4)
Se  0.000  0.500  0.500 (multiplicity 2)

Summary:
* formation energy from raw total energies: -174 kJ per mole of atoms
* D(E_F): 2.88 states/eV/f.u.
* distance to the lowest polymorph of the same formula: 7.6 meV per atom

# 7
This record from the Alexandria database describes crystalline Pr8C3N at its relaxed geometry. The functional is PBE-GGA.

a = 12.850 Å, b = 7.399 Å, c = 7.970 Å
α = 90.00°, β = 123.07°, γ = 90.00°
Space group C2/m (No. 12)
Asymmetric unit:
Pr  0.011  0.248  0.288 (multiplicity 8)
Pr  0.237  0.000  0.712 (multiplicity 4)
Pr  0.240  0.500  0.715 (multiplicity 4)
C  0.000  0.500  0.500 (multiplicity 2)
C  0.250  0.250  0.500 (multiplicity 4)
N  0.000  0.000  0.500 (multiplicity 2)

Summary:
* formation energy from raw total energies: -26 kJ per mole of atoms
* D(E_F): 10.40 states/eV/f.u.

# 8
This record from the Alexandria database describes crystalline RbPd2PbC at its relaxed geometry. The functional is PBE-GGA.

a = 5.270 Å, b = 5.270 Å, c = 4.810 Å
α = 90.00°, β = 90.00°, γ = 90.00°
Space group P4/mmm (No. 123)
Asymmetric unit:
Rb  0.000  0.000  0.000 (multiplicity 1)
Pd  0.000  0.500  0.000 (multiplicity 2)
Pb  0.500  0.500  0.500 (multiplicity 1)
C  0.000  0.000  0.500 (multiplicity 1)

Summary:
* ΔH_f (0 K): 2105.5 meV per atom
* D(E_F): 3.35 states/eV/f.u.